Material: Mn2CuPbO4
Method: DFT, GGA+U
State: optimized geometry

For the calculated total energy, the calculation gives -6.43 eV per atom.

Geometry as CIF:
```
data_Mn2CuPbO4
_chemical_formula_sum 'Mn4 Cu2 Pb2 O8'
_cell_length_a 4.914
_cell_length_b 4.914
_cell_length_c 9.886
_cell_angle_alpha 90.00
_cell_angle_beta 90.00
_cell_angle_gamma 90.00
_symmetry_space_group_name_H-M 'I -4 2 m'
_symmetry_Int_Tables_number 121
_symmetry_space_group_name_Hall 'I -4 2'
loop_
_atom_site_label
_atom_site_fract_x
_atom_site_fract_y
_atom_site_fract_z
_atom_site_occupancy
Mn1 0.000 0.500 0.250 1
Cu1 0.000 0.000 0.000 1
Pb1 0.000 0.000 0.500 1
O1 0.217 0.217 0.138 1
```